1 | ## HfU2Co9 (GGA-PBE)

Data for a geometry-optimized HfU2Co9 structure.

a b c (Å): 3.7465 3.7465 11.1431
angles (deg): 90.00 90.00 90.00
Positions (direct):
Hf1 0.0000 0.0000 0.0000
U1 0.0000 0.0000 0.3292
U2 0.0000 0.0000 0.6708
Co1 0.0000 0.5000 0.1689
Co2 0.0000 0.5000 0.5000
Co3 0.0000 0.5000 0.8311
Co4 0.5000 0.0000 0.1689
Co5 0.5000 0.0000 0.5000
Co6 0.5000 0.0000 0.8311
Co7 0.5000 0.5000 0.0000
Co8 0.5000 0.5000 0.3339
Co9 0.5000 0.5000 0.6661

Computed properties:
V = 156.4 Å³ per cell

=====

2 | ## HfU2Co9 (GGA-PBE)

Data for a geometry-optimized HfU2Co9 structure.

a b c (Å): 8.5560 8.5560 8.5560
angles (deg): 32.35 32.35 32.35
Positions (direct):
Hf1 0.0000 0.0000 0.0000
U1 0.1399 0.1399 0.1399
U2 0.8601 0.8601 0.8601
Co1 0.0824 0.5809 0.5809
Co2 0.3330 0.3330 0.3330
Co3 0.4191 0.4191 0.9176
Co4 0.4191 0.9176 0.4191
Co5 0.5000 0.5000 0.5000
Co6 0.5809 0.0824 0.5809
Co7 0.5809 0.5809 0.0824
Co8 0.6670 0.6670 0.6670
Co9 0.9176 0.4191 0.4191

Computed properties:
V = 159.4 Å³ per cell

=====

Which of them is most stable, and which least? Most stable: 1; least stable: 2.

=====

1 | ## Hf3VCo (GGA-PBE)

Data for a geometry-optimized Hf3VCo structure.

a b c (Å): 4.7725 4.7725 4.7725
angles (deg): 90.00 90.00 90.00
Positions (direct):
Hf1 0.0000 0.0000 0.5000
Hf2 0.0000 0.5000 0.0000
Hf3 0.5000 0.0000 0.0000
V1 0.0000 0.0000 0.0000
Co1 0.5000 0.5000 0.5000

Computed properties:
V = 108.7 Å³ per cell

=====

2 | ## Hf3VCo (GGA-PBE)

Data for a geometry-optimized Hf3VCo structure.

a b c (Å): 4.7596 4.7596 4.7596
angles (deg): 90.00 90.00 90.00
Positions (direct):
Hf1 0.0000 0.0000 0.5000
Hf2 0.0000 0.5000 0.0000
Hf3 0.5000 0.0000 0.0000
V1 0.5000 0.5000 0.5000
Co1 0.0000 0.0000 0.0000

Computed properties:
V = 107.8 Å³ per cell

=====

Which of them is most stable, and which least? Most stable: 2; least stable: 1.